(1)
VASP calculation (GGA-PBE) on crystalline LiGdPb at its relaxed geometry.

a b c (Å): 4.8533 4.8533 3.6633
angles (deg): 90.00 90.00 120.00
Space group P-6m2 (No. 187)
Asymmetric unit:
1 Li 0.0000 0.0000 0.0000 [1 per cell]
2 Gd 0.6667 0.3333 0.5000 [1 per cell]
3 Pb 0.3333 0.6667 0.0000 [1 per cell]

Summary:
**Volume**: 24.9 Å³/atom
**Magnetization**: 7.68 μB/cell
**Formation energy from the elements**: -0.44 eV/atom

(2)
VASP calculation (GGA-PBE) on crystalline IrPt5 at its relaxed geometry.

a b c (Å): 4.716 2.755 14.405
angles (deg): 90.00 90.00 90.00
Space group Amm2 (No. 38)
Asymmetric unit:
1 Ir 0.000 0.000 0.000 [2 per cell]
2 Pt 0.000 0.000 0.336 [2 per cell]
3 Pt 0.000 0.000 0.666 [2 per cell]
4 Pt 0.500 0.000 0.109 [2 per cell]
5 Pt 0.500 0.000 0.446 [2 per cell]
6 Pt 0.500 0.000 0.776 [2 per cell]

Summary:
**Volume**: 15.6 Å³/atom
**Magnetization**: 0.00 μB/cell
**Distance to the lowest polymorph of the same formula**: 78 meV/atom
**Formation energy from the elements**: 0.11 eV/atom